(1)
Material: AcCdGeAs
Method: DFT, PBE-GGA
State: optimized geometry

POSCAR file:
```
AcCdGeAs
1.0
0.0000 3.7044 3.7044
3.7044 0.0000 3.7044
3.7044 3.7044 0.0000
Ac Cd Ge As
1 1 1 1
Direct
0.0000 0.0000 0.0000
0.5000 0.5000 0.5000
0.7500 0.7500 0.7500
0.2500 0.2500 0.2500
```

- energy relative to the elements (eV per atom) = -0.32
- total DFT energy (no corrections) (eV per atom) = -3.897
- calculated density (g/cm3) = 7.95

(2)
Material: BaSbAu2
Method: DFT, PBE-GGA
State: optimized geometry

POSCAR file:
```
BaSbAu2
1.0
4.7077 0.0000 0.0000
0.0000 4.7230 0.0000
0.0000 0.0000 5.6764
Ba Sb Au
1 1 2
Direct
0.0000 0.0000 0.0000
0.5000 0.0000 0.5000
0.5000 0.5000 0.2388
0.5000 0.5000 0.7612
```

- total DFT energy (no corrections) (eV per atom) = -3.705
- calculated density (g/cm3) = 8.59
- ΔE_f (raw) (eV per atom) = -0.555

(3)
Material: LaSm12Tm7
Method: DFT, PBE-GGA
State: optimized geometry

POSCAR file:
```
LaSm12Tm7
1.0
-5.7428 5.7428 5.7428
5.7428 -5.7428 5.7428
5.7428 5.7428 -5.7428
La Sm Tm
1 12 7
Direct
0.0000 0.0000 0.0000
0.0000 0.2593 0.7407
0.0000 0.7407 0.2593
0.2593 0.0000 0.7407
0.2593 0.2593 0.5185
0.2593 0.5185 0.2593
0.2593 0.7407 0.0000
0.4815 0.7407 0.7407
0.5185 0.2593 0.2593
0.7407 0.0000 0.2593
0.7407 0.2593 0.0000
0.7407 0.4815 0.7407
0.7407 0.7407 0.4815
0.0000 0.0000 0.5000
0.0000 0.5000 0.0000
0.0000 0.5000 0.5000
0.5000 0.0000 0.0000
0.5000 0.0000 0.5000
0.5000 0.5000 0.0000
0.5000 0.5000 0.5000
```

- energy relative to the elements (eV per atom) = 0.68
- total DFT energy (no corrections) (eV per atom) = -3.964
- excess energy over the best structure of this formula in the dataset (meV per atom) = 518
- calculated density (g/cm3) = 6.85

(4)
Material: Sm4Ho3ScSe8
Method: DFT, PBE-GGA
State: optimized geometry

POSCAR file:
```
Sm4Ho3ScSe8
1.0
4.0638 2.3462 6.7949
-4.0638 2.3462 6.7949
0.0000 -4.6924 6.7949
Sm Ho Sc Se
4 3 1 8
Direct
0.0000 0.0000 0.0000
0.0000 0.5000 0.5000
0.5000 0.0000 0.5000
0.5000 0.5000 0.0000
0.0000 0.0000 0.5000
0.0000 0.5000 0.0000
0.5000 0.0000 0.0000
0.5000 0.5000 0.5000
0.2461 0.2461 0.2461
0.2509 0.7416 0.7416
0.2584 0.2584 0.7491
0.2584 0.7491 0.2584
0.7416 0.2509 0.7416
0.7416 0.7416 0.2509
0.7491 0.2584 0.2584
0.7539 0.7539 0.7539
```

- total DFT energy (no corrections) (eV per atom) = -5.922
- calculated density (g/cm3) = 7.57
- ΔE_f (raw) (eV per atom) = -1.746

(5)
Material: SrGa3W
Method: DFT, PBE-GGA
State: optimized geometry

POSCAR file:
```
SrGa3W
1.0
5.3379 0.0000 0.0000
0.0000 5.3379 0.0000
0.0000 0.0000 5.3379
Sr Ga W
1 3 1
Direct
0.0000 0.0000 0.0000
0.0000 0.0000 0.5000
0.0000 0.5000 0.0000
0.5000 0.0000 0.0000
0.5000 0.5000 0.5000
```

- energy relative to the elements (eV per atom) = 2.24
- total DFT energy (no corrections) (eV per atom) = -2.499
- excess energy over the best structure of this formula in the dataset (meV per atom) = 2350
- calculated density (g/cm3) = 5.25

(6)
Material: Tl12Bi7Sb
Method: DFT, PBE-GGA
State: optimized geometry

POSCAR file:
```
Tl12Bi7Sb
1.0
8.3752 4.8354 2.8205
-8.3752 4.8354 2.8205
0.0000 -9.6708 2.8205
Tl Bi Sb
12 7 1
Direct
0.0469 0.9469 0.3520
0.0531 0.6480 0.9531
0.1741 0.7025 0.4894
0.2975 0.5106 0.8259
0.3520 0.0469 0.9469
0.4894 0.1741 0.7025
0.5106 0.8259 0.2975
0.6480 0.9531 0.0531
0.7025 0.4894 0.1741
0.8259 0.2975 0.5106
0.9469 0.3520 0.0469
0.9531 0.0531 0.6480
0.0000 0.0000 0.0000
0.0956 0.3108 0.3848
0.3108 0.3848 0.0956
0.3848 0.0956 0.3108
0.6152 0.9044 0.6892
0.6892 0.6152 0.9044
0.9044 0.6892 0.6152
0.5000 0.5000 0.5000
```

- total DFT energy (no corrections) (eV per atom) = -2.950
- calculated density (g/cm3) = 9.78
- ΔE_f (raw) (eV per atom) = 0.034

(7)
Material: KMgZr3
Method: DFT, PBE-GGA
State: optimized geometry

POSCAR file:
```
KMgZr3
1.0
5.0186 0.0000 0.0000
0.0000 5.0186 0.0000
0.0000 0.0000 5.0186
K Mg Zr
1 1 3
Direct
0.0000 0.0000 0.0000
0.5000 0.5000 0.5000
0.0000 0.0000 0.5000
0.0000 0.5000 0.0000
0.5000 0.0000 0.0000
```

- energy relative to the elements (eV per atom) = 1.80
- total DFT energy (no corrections) (eV per atom) = -3.867
- excess energy over the best structure of this formula in the dataset (meV per atom) = 500
- calculated density (g/cm3) = 4.43

(8)
Material: TaNbVNi
Method: DFT, PBE-GGA
State: optimized geometry

POSCAR file:
```
TaNbVNi
1.0
0.0000 3.1215 3.1215
3.1215 0.0000 3.1215
3.1215 3.1215 0.0000
Ta Nb V Ni
1 1 1 1
Direct
0.0000 0.0000 0.0000
0.5000 0.5000 0.5000
0.7500 0.7500 0.7500
0.2500 0.2500 0.2500
```

- energy relative to the elements (eV per atom) = -0.01
- total DFT energy (no corrections) (eV per atom) = -9.220
- calculated density (g/cm3) = 10.47